1.
A geometry-optimized SrThBr6 structure. Source: Alexandria, functional PBE-GGA.

The distance to the lowest polymorph of the same formula is 0.99 kcal/mol of atoms.

The space group is Pmma (No. 51) and the conventional cell measures 9.370, 4.306 and 13.546 Å, with angles of 90.00, 90.00 and 90.00 degrees. The inequivalent atoms are Sr at (0.250, 0.000, 0.222), Th at (0.250, 0.500, 0.762), Br at (0.046, 0.500, 0.332), Br at (0.075, 0.000, 0.863), Br at (0.250, 0.000, 0.613) and Br at (0.250, 0.500, 0.067).

***

2.
A geometry-optimized SrThBr6 structure. Source: Alexandria, functional PBE-GGA.

The distance to the lowest polymorph of the same formula is 0.00 kcal/mol of atoms.

The space group is C2/m (No. 12) and the conventional cell measures 7.439, 13.287 and 7.391 Å, with angles of 90.00, 105.95 and 90.00 degrees. The inequivalent atoms are Sr at (0.000, 0.000, 0.000), Th at (0.000, 0.500, 0.500), Br at (0.230, 0.352, 0.737) and Br at (0.245, 0.500, 0.266).

***

3.
A geometry-optimized SrTh2Br11 structure. Source: Alexandria, functional PBE-GGA.

The space group is Ibam (No. 72) and the conventional cell measures 11.209, 13.933 and 14.751 Å, with angles of 90.00, 90.00 and 90.00 degrees. The inequivalent atoms are Sr at (0.000, 0.000, 0.250), Th at (0.150, 0.309, 0.000), Br at (0.000, 0.500, 0.000), Br at (0.106, 0.175, 0.140), Br at (0.118, 0.298, 0.500) and Br at (0.232, 0.081, 0.366).

***

4.
A geometry-optimized Sr2ThBr8 structure. Source: Alexandria, functional PBE-GGA.

The space group is C2/m (No. 12) and the conventional cell measures 15.767, 7.016 and 8.034 Å, with angles of 90.00, 91.87 and 90.00 degrees. The inequivalent atoms are Sr at (0.138, 0.000, 0.043), Th at (0.000, 0.000, 0.500), Br at (0.027, 0.253, 0.775), Br at (0.175, 0.000, 0.425) and Br at (0.191, 0.500, 0.085).

***

Number 1: formation energy (no corrections) -1.820 eV per atom. Number 2: formation energy (no corrections) -1.863 eV per atom. Number 3: formation energy (no corrections) -1.569 eV per atom. Number 4: formation energy (no corrections) -1.854 eV per atom.